1.
GGA-PBEsol Zn2PPb, optimized geometry; M_tot = 0.00 μB/cell; ΔH_f (0 K) = 0.315 eV/atom; SG = No. 10; uncorrected energy = -2.923 eV/atom
1.0
3.729 0.000 0.000
0.000 4.198 0.055
0.000 -1.709 4.869
P Pb Zn
1 1 2
Direct
0.500 0.500 0.000
0.000 0.500 0.500
0.000 0.000 0.000
0.500 0.000 0.500

***

2.
GGA-PBEsol ZnP14Pb, optimized geometry; M_tot = 0.00 μB/cell; ΔH_f (0 K) = 0.056 eV/atom; SG = No. 62; uncorrected energy = -5.360 eV/atom
1.0
-5.495 5.336 5.901
5.882 -3.202 8.372
8.368 10.625 -1.816
Zn P Pb
4 56 4
Direct
0.250 0.871 0.914
0.250 0.629 0.414
0.750 0.129 0.086
0.750 0.371 0.586
0.250 0.672 0.581
0.250 0.828 0.081
0.750 0.328 0.419
0.750 0.172 0.919
0.250 0.276 0.934
0.250 0.224 0.434
0.750 0.724 0.066
0.750 0.776 0.566
0.250 0.109 0.571
0.250 0.391 0.071
0.750 0.891 0.429
0.750 0.609 0.929
0.250 0.666 0.861
0.250 0.834 0.361
0.750 0.334 0.139
0.750 0.166 0.639
0.071 0.151 0.950
0.429 0.349 0.450
0.571 0.849 0.050
0.929 0.651 0.550
0.929 0.849 0.050
0.571 0.651 0.550
0.429 0.151 0.950
0.071 0.349 0.450
0.074 0.802 0.593
0.426 0.698 0.093
0.574 0.198 0.407
0.926 0.302 0.907
0.926 0.198 0.407
0.574 0.302 0.907
0.426 0.802 0.593
0.074 0.698 0.093
0.084 0.584 0.948
0.416 0.916 0.448
0.584 0.416 0.052
0.916 0.084 0.552
0.916 0.416 0.052
0.584 0.084 0.552
0.416 0.584 0.948
0.084 0.916 0.448
0.066 0.176 0.651
0.434 0.324 0.151
0.566 0.824 0.349
0.934 0.676 0.849
0.934 0.824 0.349
0.566 0.676 0.849
0.434 0.176 0.651
0.066 0.324 0.151
0.022 0.371 0.607
0.478 0.129 0.107
0.522 0.629 0.393
0.978 0.871 0.893
0.978 0.629 0.393
0.522 0.871 0.893
0.478 0.371 0.607
0.022 0.129 0.107
0.250 0.468 0.716
0.250 0.032 0.216
0.750 0.532 0.284
0.750 0.968 0.784

***

3.
GGA-PBEsol Zn2PPb, optimized geometry; M_tot = 0.00 μB/cell; ΔH_f (0 K) = 0.373 eV/atom; SG = No. 65; uncorrected energy = -2.866 eV/atom
1.0
3.681 0.000 0.000
0.000 4.591 0.109
0.000 -1.072 4.466
P Pb Zn
1 1 2
Direct
0.500 0.000 0.000
0.500 0.500 0.500
0.000 0.500 0.000
0.000 0.000 0.500

***

4.
GGA-PBEsol ZnP2Pb, optimized geometry; M_tot = 0.00 μB/cell; ΔH_f (0 K) = 0.533 eV/atom; SG = No. 216; uncorrected energy = -3.757 eV/atom
1.0
4.723 0.000 0.000
2.362 4.091 0.000
2.362 1.364 3.857
P Pb Zn
2 1 1
Direct
0.000 0.000 0.000
0.750 0.750 0.750
0.500 0.500 0.500
0.250 0.250 0.250

***

5.
GGA-PBEsol Zn2PPb, optimized geometry; M_tot = 0.00 μB/cell; ΔH_f (0 K) = 0.357 eV/atom; SG = No. 123; uncorrected energy = -2.882 eV/atom
1.0
4.221 0.000 0.000
0.000 4.221 0.000
0.000 0.000 4.298
P Pb Zn
1 1 2
Direct
0.500 0.500 0.500
0.000 0.000 0.500
0.000 0.500 0.000
0.500 0.000 0.000

***

6.
GGA-PBEsol ZnP6Pb, optimized geometry; M_tot = 0.00 μB/cell; ΔH_f (0 K) = 0.358 eV/atom; SG = No. 148; uncorrected energy = -4.683 eV/atom
1.0
-2.178 3.953 -2.884
1.518 -2.312 -4.587
-4.646 -2.638 -0.379
P Pb Zn
6 1 1
Direct
0.419 0.824 0.956
0.824 0.956 0.419
0.956 0.419 0.824
0.581 0.176 0.044
0.176 0.044 0.581
0.044 0.581 0.176
0.500 0.500 0.500
0.000 0.000 0.000

***

7.
GGA-PBEsol Zr2PPb, optimized geometry; M_tot = 0.00 μB/cell; ΔH_f (0 K) = -0.865 eV/atom; SG = No. 166; uncorrected energy = -7.857 eV/atom; energy above the lowest structure with this stoichiometry = 0 meV/atom
1.0
3.633 0.000 0.000
1.816 3.146 0.000
1.816 1.049 7.465
Pb P Zr
1 1 2
Direct
0.000 0.000 0.000
0.500 0.500 0.500
0.229 0.229 0.312
0.771 0.771 0.688

***

8.
GGA-PBEsol ZrP2Pb, optimized geometry; M_tot = 0.00 μB/cell; ΔH_f (0 K) = -0.470 eV/atom; SG = No. 44; uncorrected energy = -6.637 eV/atom
1.0
-3.286 -1.089 0.376
-0.037 -1.099 -3.504
3.881 -4.955 3.439
P Pb Zr
2 1 1
Direct
0.936 0.936 0.873
0.733 0.233 0.466
0.540 0.540 0.080
0.291 0.791 0.582

***

9.
GGA-PBEsol Zr2PPb, optimized geometry; M_tot = 0.00 μB/cell; ΔH_f (0 K) = -0.483 eV/atom; SG = No. 38; uncorrected energy = -7.476 eV/atom; energy above the lowest structure with this stoichiometry = 381 meV/atom
1.0
3.446 0.000 0.000
0.000 4.934 0.000
-1.723 0.000 5.183
P Pb Zr
1 1 2
Direct
0.246 0.000 0.492
0.537 0.500 0.075
0.941 0.000 0.881
0.265 0.500 0.530

***

10.
GGA-PBEsol Zr5PPb3, optimized geometry; M_tot = 0.00 μB/cell; ΔH_f (0 K) = -0.675 eV/atom; SG = No. 193; uncorrected energy = -7.701 eV/atom
1.0
5.930 0.000 0.000
0.000 8.606 0.000
0.000 -4.303 7.453
P Pb Zr
2 6 10
Direct
0.000 0.000 0.000
0.500 0.000 0.000
0.750 0.398 0.398
0.750 0.000 0.602
0.750 0.602 0.000
0.250 0.602 0.602
0.250 0.000 0.398
0.250 0.398 0.000
0.000 0.667 0.333
0.500 0.333 0.667
0.000 0.333 0.667
0.500 0.667 0.333
0.750 0.752 0.752
0.750 0.000 0.248
0.750 0.248 0.000
0.250 0.248 0.248
0.250 0.000 0.752
0.250 0.752 0.000

***

11.
GGA-PBEsol PPd3, optimized geometry; M_tot = 0.00 μB/cell; ΔH_f (0 K) = -0.525 eV/atom; SG = No. 62; uncorrected energy = -6.442 eV/atom
1.0
5.129 0.000 0.000
0.000 6.015 0.000
0.000 0.000 7.374
P Pd
4 12
Direct
0.458 0.881 0.250
0.958 0.619 0.750
0.042 0.381 0.250
0.542 0.119 0.750
0.874 0.026 0.250
0.374 0.474 0.750
0.626 0.526 0.250
0.126 0.974 0.750
0.339 0.175 0.062
0.839 0.325 0.938
0.161 0.675 0.438
0.661 0.825 0.562
0.661 0.825 0.938
0.161 0.675 0.062
0.839 0.325 0.562
0.339 0.175 0.438

***

12.
GGA-PBEsol P2Pd, optimized geometry; M_tot = 0.00 μB/cell; ΔH_f (0 K) = -0.473 eV/atom; SG = No. 15; uncorrected energy = -6.320 eV/atom
1.0
4.470 0.035 0.020
-0.686 4.418 -0.020
-2.126 -2.027 4.958
P Pd
4 2
Direct
0.977 0.932 0.665
0.767 0.312 0.835
0.233 0.688 0.165
0.023 0.068 0.335
0.500 0.500 0.500
0.500 0.000 0.000